No. 1
Density functional theory data (PBE-GGA) for a relaxed CeSbRuN crystal.

CIF file:
```
data_CeSbRuN
_chemical_formula_sum 'Ce2 Sb2 Ru2 N2'
_cell_length_a 4.1927
_cell_length_b 4.1927
_cell_length_c 8.6483
_cell_angle_alpha 90.00
_cell_angle_beta 90.00
_cell_angle_gamma 90.00
_symmetry_space_group_name_H-M 'P 1'
_symmetry_Int_Tables_number 1
_symmetry_space_group_name_Hall 'P 1'
loop_
_atom_site_label
_atom_site_type_symbol
_atom_site_fract_x
_atom_site_fract_y
_atom_site_fract_z
Ce1 Ce 0.2500 0.2500 0.1178
Ce2 Ce 0.7500 0.7500 0.8822
Sb1 Sb 0.2500 0.2500 0.6757
Sb2 Sb 0.7500 0.7500 0.3243
Ru1 Ru 0.2500 0.7500 0.5000
Ru2 Ru 0.7500 0.2500 0.5000
N1 N 0.2500 0.7500 0.0000
N2 N 0.7500 0.2500 0.0000
```

magnetization: 0.00 μB/f.u.
crystal system: tetragonal

***

No. 2
Density functional theory data (PBE-GGA) for a relaxed CeSiRuN crystal.

CIF file:
```
data_CeSiRuN
_chemical_formula_sum 'Ce2 Si2 Ru2 N2'
_cell_length_a 4.0166
_cell_length_b 4.0166
_cell_length_c 7.9702
_cell_angle_alpha 90.00
_cell_angle_beta 90.00
_cell_angle_gamma 90.00
_symmetry_space_group_name_H-M 'P 1'
_symmetry_Int_Tables_number 1
_symmetry_space_group_name_Hall 'P 1'
loop_
_atom_site_label
_atom_site_type_symbol
_atom_site_fract_x
_atom_site_fract_y
_atom_site_fract_z
Ce1 Ce 0.2500 0.2500 0.1633
Ce2 Ce 0.7500 0.7500 0.8367
Si1 Si 0.2500 0.2500 0.6551
Si2 Si 0.7500 0.7500 0.3449
Ru1 Ru 0.2500 0.7500 0.5000
Ru2 Ru 0.7500 0.2500 0.5000
N1 N 0.2500 0.2500 0.8782
N2 N 0.7500 0.7500 0.1218
```

magnetization: 0.79 μB/f.u.
crystal system: tetragonal

***

No. 3
Density functional theory data (PBE-GGA) for a relaxed TbCe2RuN4 crystal.

CIF file:
```
data_TbCe2RuN4
_chemical_formula_sum 'Tb2 Ce4 Ru2 N8'
_cell_length_a 6.1411
_cell_length_b 6.1411
_cell_length_c 11.6606
_cell_angle_alpha 90.00
_cell_angle_beta 90.00
_cell_angle_gamma 147.89
_symmetry_space_group_name_H-M 'P 1'
_symmetry_Int_Tables_number 1
_symmetry_space_group_name_Hall 'P 1'
loop_
_atom_site_label
_atom_site_type_symbol
_atom_site_fract_x
_atom_site_fract_y
_atom_site_fract_z
Tb1 Tb 0.1159 0.8841 0.7500
Tb2 Tb 0.8841 0.1159 0.2500
Ce1 Ce 0.3689 0.6311 0.5516
Ce2 Ce 0.3689 0.6311 0.9484
Ce3 Ce 0.6311 0.3689 0.0516
Ce4 Ce 0.6311 0.3689 0.4484
Ru1 Ru 0.1449 0.8551 0.2500
Ru2 Ru 0.8551 0.1449 0.7500
N1 N 0.0000 0.0000 0.0000
N2 N 0.0000 0.0000 0.5000
N3 N 0.2736 0.7264 0.1275
N4 N 0.2736 0.7264 0.3725
N5 N 0.4626 0.5374 0.7500
N6 N 0.5374 0.4626 0.2500
N7 N 0.7264 0.2736 0.6275
N8 N 0.7264 0.2736 0.8725
```

magnetization: 0.00 μB/f.u.
crystal system: orthorhombic

***

No. 4
Density functional theory data (PBE-GGA) for a relaxed CeU2RuN4 crystal.

CIF file:
```
data_CeU2RuN4
_chemical_formula_sum 'Ce2 U4 Ru2 N8'
_cell_length_a 6.0361
_cell_length_b 6.0361
_cell_length_c 11.4670
_cell_angle_alpha 90.00
_cell_angle_beta 90.00
_cell_angle_gamma 147.08
_symmetry_space_group_name_H-M 'P 1'
_symmetry_Int_Tables_number 1
_symmetry_space_group_name_Hall 'P 1'
loop_
_atom_site_label
_atom_site_type_symbol
_atom_site_fract_x
_atom_site_fract_y
_atom_site_fract_z
Ce1 Ce 0.1070 0.8930 0.7500
Ce2 Ce 0.8930 0.1070 0.2500
U1 U 0.3703 0.6297 0.5560
U2 U 0.3703 0.6297 0.9440
U3 U 0.6297 0.3703 0.0560
U4 U 0.6297 0.3703 0.4440
Ru1 Ru 0.1545 0.8455 0.2500
Ru2 Ru 0.8455 0.1545 0.7500
N1 N 0.0000 0.0000 0.0000
N2 N 0.0000 0.0000 0.5000
N3 N 0.2733 0.7267 0.1097
N4 N 0.2733 0.7267 0.3903
N5 N 0.4545 0.5455 0.7500
N6 N 0.5455 0.4545 0.2500
N7 N 0.7267 0.2733 0.6097
N8 N 0.7267 0.2733 0.8903
```

magnetization: 2.17 μB/f.u.
crystal system: orthorhombic

***

No. 5
Density functional theory data (PBE-GGA) for a relaxed CeY2RuN4 crystal.

CIF file:
```
data_CeY2RuN4
_chemical_formula_sum 'Ce2 Y4 Ru2 N8'
_cell_length_a 6.0608
_cell_length_b 6.0608
_cell_length_c 11.5778
_cell_angle_alpha 90.00
_cell_angle_beta 90.00
_cell_angle_gamma 147.40
_symmetry_space_group_name_H-M 'P 1'
_symmetry_Int_Tables_number 1
_symmetry_space_group_name_Hall 'P 1'
loop_
_atom_site_label
_atom_site_type_symbol
_atom_site_fract_x
_atom_site_fract_y
_atom_site_fract_z
Ce1 Ce 0.1156 0.8844 0.7500
Ce2 Ce 0.8844 0.1156 0.2500
Y1 Y 0.3696 0.6304 0.5459
Y2 Y 0.3696 0.6304 0.9541
Y3 Y 0.6304 0.3696 0.0459
Y4 Y 0.6304 0.3696 0.4541
Ru1 Ru 0.1437 0.8563 0.2500
Ru2 Ru 0.8563 0.1437 0.7500
N1 N 0.0000 0.0000 0.0000
N2 N 0.0000 0.0000 0.5000
N3 N 0.2716 0.7284 0.1310
N4 N 0.2716 0.7284 0.3690
N5 N 0.4550 0.5450 0.7500
N6 N 0.5450 0.4550 0.2500
N7 N 0.7284 0.2716 0.6310
N8 N 0.7284 0.2716 0.8690
```

magnetization: 0.00 μB/f.u.
crystal system: orthorhombic

***

No. 6
Density functional theory data (PBE-GGA) for a relaxed Ce2SN crystal.

CIF file:
```
data_Ce2SN
_chemical_formula_sum 'Ce2 S1 N1'
_cell_length_a 6.7342
_cell_length_b 6.7342
_cell_length_c 6.7342
_cell_angle_alpha 32.16
_cell_angle_beta 32.16
_cell_angle_gamma 32.16
_symmetry_space_group_name_H-M 'P 1'
_symmetry_Int_Tables_number 1
_symmetry_space_group_name_Hall 'P 1'
loop_
_atom_site_label
_atom_site_type_symbol
_atom_site_fract_x
_atom_site_fract_y
_atom_site_fract_z
Ce1 Ce 0.2381 0.2381 0.2381
Ce2 Ce 0.7619 0.7619 0.7619
S1 S 0.0000 0.0000 0.0000
N1 N 0.5000 0.5000 0.5000
```

magnetization: 0.02 μB/f.u.
crystal system: trigonal
energy relative to the lowest polymorph listed for this composition: 0 kJ/mol of formula units

***

No. 7
Density functional theory data (PBE-GGA) for a relaxed Ce2SN crystal.

CIF file:
```
data_Ce2SN
_chemical_formula_sum 'Ce4 S2 N2'
_cell_length_a 6.5054
_cell_length_b 6.5054
_cell_length_c 6.5054
_cell_angle_alpha 130.46
_cell_angle_beta 130.46
_cell_angle_gamma 72.68
_symmetry_space_group_name_H-M 'P 1'
_symmetry_Int_Tables_number 1
_symmetry_space_group_name_Hall 'P 1'
loop_
_atom_site_label
_atom_site_type_symbol
_atom_site_fract_x
_atom_site_fract_y
_atom_site_fract_z
Ce1 Ce 0.1056 0.3556 0.7500
Ce2 Ce 0.3556 0.1056 0.2500
Ce3 Ce 0.6444 0.8944 0.7500
Ce4 Ce 0.8944 0.6444 0.2500
S1 S 0.3750 0.6250 0.7500
S2 S 0.6250 0.3750 0.2500
N1 N 0.1250 0.8750 0.2500
N2 N 0.8750 0.1250 0.7500
```

magnetization: 0.00 μB/f.u.
crystal system: tetragonal
energy relative to the lowest polymorph listed for this composition: 30 kJ/mol of formula units

***

No. 8
Density functional theory data (PBE-GGA) for a relaxed Ce3S2N2 crystal.

CIF file:
```
data_Ce3S2N2
_chemical_formula_sum 'Ce6 S4 N4'
_cell_length_a 7.7519
_cell_length_b 7.7519
_cell_length_c 11.4911
_cell_angle_alpha 121.60
_cell_angle_beta 121.60
_cell_angle_gamma 28.99
_symmetry_space_group_name_H-M 'P 1'
_symmetry_Int_Tables_number 1
_symmetry_space_group_name_Hall 'P 1'
loop_
_atom_site_label
_atom_site_type_symbol
_atom_site_fract_x
_atom_site_fract_y
_atom_site_fract_z
Ce1 Ce 0.0936 0.0936 0.1704
Ce2 Ce 0.1310 0.1310 0.7805
Ce3 Ce 0.3988 0.3988 0.5385
Ce4 Ce 0.6012 0.6012 0.4615
Ce5 Ce 0.8690 0.8690 0.2195
Ce6 Ce 0.9064 0.9064 0.8296
S1 S 0.2613 0.2613 0.6530
S2 S 0.3925 0.3925 0.0256
S3 S 0.6075 0.6075 0.9744
S4 S 0.7387 0.7387 0.3470
N1 N 0.0472 0.0472 0.3204
N2 N 0.4168 0.4168 0.3474
N3 N 0.5832 0.5832 0.6526
N4 N 0.9528 0.9528 0.6796
```

magnetization: 2.01 μB/f.u.
crystal system: monoclinic

***

No. 9
Density functional theory data (PBE-GGA) for a relaxed CeSN crystal.

CIF file:
```
data_CeSN
_chemical_formula_sum 'Ce2 S2 N2'
_cell_length_a 5.8153
_cell_length_b 5.8153
_cell_length_c 4.0752
_cell_angle_alpha 90.00
_cell_angle_beta 90.00
_cell_angle_gamma 90.00
_symmetry_space_group_name_H-M 'P 1'
_symmetry_Int_Tables_number 1
_symmetry_space_group_name_Hall 'P 1'
loop_
_atom_site_label
_atom_site_type_symbol
_atom_site_fract_x
_atom_site_fract_y
_atom_site_fract_z
Ce1 Ce 0.2500 0.2500 0.0029
Ce2 Ce 0.7500 0.7500 0.9971
S1 S 0.2500 0.7500 0.0000
S2 S 0.7500 0.2500 0.0000
N1 N 0.2500 0.2500 0.5030
N2 N 0.7500 0.7500 0.4970
```

magnetization: 0.20 μB/f.u.
crystal system: tetragonal
energy relative to the lowest polymorph listed for this composition: 154 kJ/mol of formula units

***

No. 10
Density functional theory data (PBE-GGA) for a relaxed Ce2SN crystal.

CIF file:
```
data_Ce2SN
_chemical_formula_sum 'Ce2 S1 N1'
_cell_length_a 3.2424
_cell_length_b 3.2424
_cell_length_c 6.6693
_cell_angle_alpha 90.00
_cell_angle_beta 90.00
_cell_angle_gamma 90.00
_symmetry_space_group_name_H-M 'P 1'
_symmetry_Int_Tables_number 1
_symmetry_space_group_name_Hall 'P 1'
loop_
_atom_site_label
_atom_site_type_symbol
_atom_site_fract_x
_atom_site_fract_y
_atom_site_fract_z
Ce1 Ce 0.0000 0.0000 0.2208
Ce2 Ce 0.0000 0.0000 0.7792
S1 S 0.5000 0.5000 0.5000
N1 N 0.5000 0.5000 0.0000
```

magnetization: 2.07 μB/f.u.
crystal system: tetragonal
energy relative to the lowest polymorph listed for this composition: 214 kJ/mol of formula units

***

No. 11
Density functional theory data (PBE-GGA) for a relaxed Ce4S3N2 crystal.

CIF file:
```
data_Ce4S3N2
_chemical_formula_sum 'Ce4 S3 N2'
_cell_length_a 6.9152
_cell_length_b 6.9152
_cell_length_c 10.0959
_cell_angle_alpha 128.10
_cell_angle_beta 128.10
_cell_angle_gamma 33.01
_symmetry_space_group_name_H-M 'P 1'
_symmetry_Int_Tables_number 1
_symmetry_space_group_name_Hall 'P 1'
loop_
_atom_site_label
_atom_site_type_symbol
_atom_site_fract_x
_atom_site_fract_y
_atom_site_fract_z
Ce1 Ce 0.1021 0.1021 0.3534
Ce2 Ce 0.3007 0.3007 0.8691
Ce3 Ce 0.6993 0.6993 0.1309
Ce4 Ce 0.8979 0.8979 0.6466
S1 S 0.0000 0.0000 0.0000
S2 S 0.3927 0.3927 0.2327
S3 S 0.6073 0.6073 0.7673
N1 N 0.2899 0.2899 0.6379
N2 N 0.7101 0.7101 0.3621
```

magnetization: 3.21 μB/f.u.
crystal system: monoclinic

***

| no. | uncorrected formation energy (meV per atom) |
| --- | --- |
| 1 | -853 |
| 2 | -1055 |
| 3 | -1046 |
| 4 | -1097 |
| 5 | -1054 |
| 6 | -1743 |
| 7 | -1664 |
| 8 | -1784 |
| 9 | -742 |
| 10 | -1189 |
| 11 | -1846 |